This record from the Alexandria database describes a relaxed K2GeCl4 crystal. The functional is PBE-GGA.

a b c (Å): 7.4706 6.7708 9.1824
angles (deg): 90.00 109.41 90.00
With the nearest neighbours (Å) after each atom.
Fractional positions:
K 0.0884 0.2500 0.4145  8 Cl 3.10-3.48
K 0.2582 0.7500 0.0673  8 Cl 3.20-3.58
K 0.7418 0.2500 0.9327  8 Cl 3.20-3.58
K 0.9116 0.7500 0.5855  8 Cl 3.10-3.48
Ge 0.4722 0.7500 0.6434  3 Cl 2.34-2.61
Ge 0.5278 0.2500 0.3566  3 Cl 2.34-2.61
Cl 0.1797 0.7500 0.3896  1 Ge 2.61
Cl 0.1917 0.2500 0.1115  1 Ge 2.76
Cl 0.3361 0.5022 0.7493  1 Ge 2.34
Cl 0.3361 0.9978 0.7493  1 Ge 2.34
Cl 0.6639 0.0022 0.2507  1 Ge 2.34
Cl 0.6639 0.4978 0.2507  1 Ge 2.34
Cl 0.8083 0.7500 0.8885  1 Ge 2.76
Cl 0.8203 0.2500 0.6104  1 Ge 2.61

Computed properties:
Formation energy from raw total energies ... -1.46 eV per atom
VASP energy ... -3.487 eV per atom
Space group ... No. 11
Crystal system ... monoclinic